Below is PmTaIr2 after structural relaxation, with properties calculated at the GGA-PBE level. Values from VASP.

Geometry as Quantum ESPRESSO input:
```
&SYSTEM
  ibrav = 0, nat = 4, ntyp = 3
/
ATOMIC_SPECIES
Ir 192.22 Ir.upf
Ta 180.95 Ta.upf
Pm 145.00 Pm.upf
ATOMIC_POSITIONS angstrom
Ir 0.000 0.000 1.536
Ir 0.000 0.000 6.091
Ta 1.580 1.580 0.000
Pm 1.580 1.580 3.814
CELL_PARAMETERS angstrom
3.160 0.000 0.000
0.000 3.160 0.000
0.000 0.000 7.627
```

Computed properties:
M_tot ... 0.0 μB/f.u.
E_form ... -0.563 eV/atom